# 1
Compound: La9Y4Tl11
Source: Alexandria via LeMat-Bulk
Functional: PBE-GGA
Structure: optimized geometry

Output
Final energy, eV per atom: -4.353
Energy of formation, eV/atom: -0.343

a = 3.5674 Å, b = 14.5186 Å, c = 14.5186 Å
α = 103.08°, β = 90.00°, γ = 90.00°
Site moments in Bohr magnetons follow the coordinates.
Fractional coordinates of all 24 atoms:
Y 0.5000 0.7397 0.5559  0.04
Y 0.5000 0.5559 0.7397  0.04
Y 0.5000 0.4441 0.2603  0.04
Y 0.5000 0.2603 0.4441  0.04
La 0.5000 0.3682 0.8594  0.14
La 0.5000 0.8594 0.3682  0.14
La 0.5000 0.2111 0.0452  -0.12
La 0.5000 0.6318 0.1406  0.14
La 0.5000 0.7889 0.9548  -0.12
La 0.5000 0.1406 0.6318  0.14
La 0.5000 0.9548 0.7889  -0.12
La 0.5000 0.0452 0.2111  -0.12
La 0.5000 0.5000 0.5000  0.25
Tl 0.0000 0.5764 0.9312  0.00
Tl 0.0000 0.1612 0.8388  0.00
Tl 0.0000 0.8388 0.1612  0.00
Tl 0.0000 0.0000 0.0000  0.00
Tl 0.0000 0.2565 0.2565  -0.01
Tl 0.0000 0.4236 0.0688  0.00
Tl 0.0000 0.3664 0.6336  0.00
Tl 0.0000 0.7435 0.7435  -0.01
Tl 0.0000 0.9312 0.5764  0.00
Tl 0.0000 0.0688 0.4236  0.00
Tl 0.0000 0.6336 0.3664  0.00

---

# 2
Compound: LaY3Tl4
Source: Alexandria via LeMat-Bulk
Functional: PBE-GGA
Structure: optimized geometry

Output
Final energy, eV per atom: -4.607
Energy of formation, eV/atom: -0.384

a = 5.4545 Å, b = 7.6672 Å, c = 10.9089 Å
α = 90.00°, β = 90.00°, γ = 90.00°
Fractional coordinates of all 16 atoms:
Y 0.5025 0.0000 0.7500
Y 0.0000 0.0000 0.0000
Y 0.4975 0.0000 0.2500
Y 0.5021 0.5000 0.7500
Y 0.4979 0.5000 0.2500
Y 0.0000 0.0000 0.5000
Tl 0.5000 0.2403 0.5000
Tl 0.0029 0.7597 0.7500
Tl 0.5000 0.2403 0.0000
Tl 0.0029 0.2403 0.7500
Tl 0.9971 0.7597 0.2500
Tl 0.9971 0.2403 0.2500
Tl 0.5000 0.7597 0.0000
Tl 0.5000 0.7597 0.5000
La 0.0000 0.5000 0.5000
La 0.0000 0.5000 0.0000

---

# 3
Compound: La2Y3Tl4
Source: Alexandria via LeMat-Bulk
Functional: PBE-GGA
Structure: optimized geometry

Output
Offset from the most stable computed form, eV per atom: 0.028
Final energy, eV per atom: -4.598
Energy of formation, eV/atom: -0.297

a = 7.2565 Å, b = 9.2039 Å, c = 9.1834 Å
α = 90.00°, β = 113.27°, γ = 90.00°
Fractional coordinates of all 18 atoms:
Tl 0.7173 0.7500 0.9346
Tl 0.3146 0.4575 0.6292
Tl 0.8146 0.0425 0.6292
Tl 0.1854 0.9575 0.3708
Tl 0.6854 0.5425 0.3708
Tl 0.2173 0.7500 0.9346
Tl 0.2827 0.2500 0.0654
Tl 0.7827 0.2500 0.0654
La 0.3901 0.0783 0.7801
La 0.1099 0.5783 0.2199
La 0.6099 0.9217 0.2199
La 0.8901 0.4217 0.7801
Y 0.5358 0.7500 0.5715
Y 0.4642 0.2500 0.4285
Y 0.5000 0.5000 0.0000
Y 0.0358 0.7500 0.5715
Y 0.9642 0.2500 0.4285
Y 0.0000 0.0000 0.0000

---

# 4
Compound: LaY3Tl2
Source: Alexandria via LeMat-Bulk
Functional: PBE-GGA
Structure: optimized geometry

Output
Final energy, eV per atom: -5.141
Energy of formation, eV/atom: -0.299

a = 5.1894 Å, b = 6.8492 Å, c = 10.1805 Å
α = 90.00°, β = 90.00°, γ = 90.00°
Fractional coordinates of all 12 atoms:
Y 0.0000 0.3273 0.3045
Y 0.0000 0.8273 0.6955
Y 0.5000 0.1701 0.8186
Y 0.0000 0.9550 0.0457
Y 0.0000 0.4550 0.9543
Y 0.5000 0.6701 0.1814
Tl 0.0000 0.7863 0.3597
Tl 0.5000 0.2085 0.1305
Tl 0.0000 0.2863 0.6403
Tl 0.5000 0.7085 0.8695
La 0.5000 0.0527 0.4563
La 0.5000 0.5527 0.5437

---

# 5
Compound: La2Y3Tl4
Source: Alexandria via LeMat-Bulk
Functional: PBE-GGA
Structure: optimized geometry

Output
Offset from the most stable computed form, eV per atom: 0.000
Final energy, eV per atom: -4.626
Energy of formation, eV/atom: -0.324

a = 5.3729 Å, b = 5.3710 Å, c = 10.9254 Å
α = 90.04°, β = 90.00°, γ = 59.98°
Fractional coordinates of all 9 atoms:
Tl 0.0000 0.9999 0.6468
Tl 0.3335 0.3330 0.1031
Tl 0.0000 0.0001 0.3532
Tl 0.6665 0.6670 0.8969
La 0.3332 0.3336 0.7812
La 0.6668 0.6664 0.2188
Y 0.3334 0.3333 0.4254
Y 0.6666 0.6667 0.5746
Y 0.0000 0.0000 0.0000

---

# 6
Compound: LaY5Tl3
Source: Alexandria via LeMat-Bulk
Functional: PBE-GGA
Structure: optimized geometry

Output
Final energy, eV per atom: -5.223
Energy of formation, eV/atom: -0.295

a = 6.8098 Å, b = 9.4466 Å, c = 9.4462 Å
α = 120.00°, β = 90.00°, γ = 90.00°
Site moments in Bohr magnetons follow the coordinates.
Fractional coordinates of all 18 atoms:
La 0.0000 0.0000 0.0000  0.27
La 0.5000 0.0000 0.0000  0.27
Y 0.7500 0.6720 0.6720  0.12
Y 0.2500 0.3280 0.3280  0.12
Y 0.5000 0.3333 0.6666  0.12
Y 0.2500 0.0000 0.6720  0.12
Y 0.2500 0.6720 0.0000  0.12
Y 0.7500 0.0000 0.3280  0.12
Y 0.0000 0.3333 0.6666  0.12
Y 0.5000 0.6667 0.3334  0.12
Y 0.0000 0.6667 0.3334  0.12
Y 0.7500 0.3280 0.0000  0.12
Tl 0.7500 0.6574 0.0000  -0.01
Tl 0.7500 0.0000 0.6574  -0.01
Tl 0.2500 0.0000 0.3426  -0.01
Tl 0.2500 0.3426 0.0000  -0.01
Tl 0.2500 0.6574 0.6574  -0.01
Tl 0.7500 0.3426 0.3426  -0.01

---

# 7
Compound: LaY4Tl5
Source: Alexandria via LeMat-Bulk
Functional: PBE-GGA
Structure: optimized geometry

Output
Final energy, eV per atom: -4.652
Energy of formation, eV/atom: -0.390

a = 3.7832 Å, b = 3.7832 Å, c = 19.7002 Å
α = 90.00°, β = 90.00°, γ = 90.00°
Fractional coordinates of all 10 atoms:
La 0.0000 0.0000 0.0000
Y 0.0000 0.0000 0.2078
Y 0.0000 0.0000 0.4027
Y 0.0000 0.0000 0.7922
Y 0.0000 0.0000 0.5973
Tl 0.5000 0.5000 0.1106
Tl 0.5000 0.5000 0.8894
Tl 0.5000 0.5000 0.3058
Tl 0.5000 0.5000 0.5000
Tl 0.5000 0.5000 0.6942

---

# 8
Compound: LaYTl3
Source: Alexandria via LeMat-Bulk
Functional: PBE-GGA
Structure: optimized geometry

Output
Offset from the most stable computed form, eV per atom: 0.522
Final energy, eV per atom: -3.480
Energy of formation, eV/atom: 0.218

a = 5.6859 Å, b = 5.6859 Å, c = 5.6859 Å
α = 90.00°, β = 90.00°, γ = 90.00°
Site moments in Bohr magnetons follow the coordinates.
Fractional coordinates of all 5 atoms:
La 0.5000 0.5000 0.5000  0.03
Tl 0.0000 0.0000 0.5000  0.02
Tl 0.0000 0.5000 0.0000  0.06
Tl 0.5000 0.0000 0.0000  0.07
Y 0.0000 0.0000 0.0000  0.27

---

# 9
Compound: LaYTlZn
Source: Alexandria via LeMat-Bulk
Functional: PBE-GGA
Structure: optimized geometry

Output
Final energy, eV per atom: -4.107
Energy of formation, eV/atom: -0.349

a = 5.3818 Å, b = 5.3818 Å, c = 5.3818 Å
α = 60.00°, β = 60.00°, γ = 60.00°
Fractional coordinates of all 4 atoms:
La 0.0000 0.0000 0.0000
Y 0.5000 0.5000 0.5000
Zn 0.7500 0.7500 0.7500
Tl 0.2500 0.2500 0.2500

---

# 10
Compound: LaY2ZrTl
Source: Alexandria via LeMat-Bulk
Functional: PBE-GGA
Structure: optimized geometry

Output
Final energy, eV per atom: -5.344
Energy of formation, eV/atom: 0.410

a = 5.4668 Å, b = 5.7251 Å, c = 5.4668 Å
α = 90.00°, β = 90.00°, γ = 90.00°
Fractional coordinates of all 5 atoms:
Y 0.0000 0.0000 0.5000
Y 0.5000 0.0000 0.0000
La 0.5000 0.5000 0.5000
Tl 0.0000 0.5000 0.0000
Zr 0.0000 0.0000 0.0000

---

# 11
Compound: LaYbTl2
Source: Alexandria via LeMat-Bulk
Functional: PBE-GGA
Structure: optimized geometry

Output
Final energy, eV per atom: -3.249
Energy of formation, eV/atom: -0.453

a = 5.5562 Å, b = 5.5562 Å, c = 5.5562 Å
α = 60.00°, β = 60.00°, γ = 60.00°
Fractional coordinates of all 4 atoms:
Yb 0.7500 0.7500 0.7500
Tl 0.5000 0.5000 0.5000
Tl 0.0000 0.0000 0.0000
La 0.2500 0.2500 0.2500

---

# 12
Compound: LaTlZn
Source: Alexandria via LeMat-Bulk
Functional: PBE-GGA
Structure: optimized geometry

Output
Final energy, eV per atom: -3.103
Energy of formation, eV/atom: -0.247

a = 4.6320 Å, b = 4.6320 Å, c = 7.6787 Å
α = 90.00°, β = 90.00°, γ = 90.00°
Site moments in Bohr magnetons follow the coordinates.
Fractional coordinates of all 6 atoms:
La 0.5000 0.0000 0.8272  0.10
La 0.0000 0.5000 0.1728  0.10
Tl 0.0000 0.0000 0.5000  -0.01
Tl 0.5000 0.5000 0.5000  -0.01
Zn 0.5000 0.0000 0.2453  0.00
Zn 0.0000 0.5000 0.7547  0.00

---

# 13
Compound: La6Tl5Zn
Source: Alexandria via LeMat-Bulk
Functional: PBE-GGA
Structure: optimized geometry

Output
Final energy, eV per atom: -3.954
Energy of formation, eV/atom: -0.398

a = 5.6113 Å, b = 7.8612 Å, c = 8.8783 Å
α = 90.00°, β = 71.47°, γ = 90.00°
Fractional coordinates of all 12 atoms:
Tl 0.6685 0.5000 0.6632
Tl 0.3315 0.5000 0.3368
Tl 0.3342 0.0000 0.3314
Tl 0.6658 0.0000 0.6686
Tl 0.0000 0.5000 0.0000
La 0.5000 0.7578 0.0000
La 0.1631 0.2442 0.6738
La 0.8369 0.2442 0.3262
La 0.5000 0.2422 0.0000
La 0.1631 0.7558 0.6738
La 0.8369 0.7558 0.3262
Zn 0.0000 0.0000 0.0000

---

# 14
Compound: La3TlZn2
Source: Alexandria via LeMat-Bulk
Functional: PBE-GGA
Structure: optimized geometry

Output
Offset from the most stable computed form, eV per atom: 0.014
Final energy, eV per atom: -3.618
Energy of formation, eV/atom: -0.335

a = 5.4182 Å, b = 5.4182 Å, c = 13.4172 Å
α = 90.00°, β = 90.00°, γ = 120.00°
Fractional coordinates of all 12 atoms:
La 0.0000 0.0000 0.7618
La 0.6667 0.3333 0.0724
La 0.3333 0.6667 0.9276
La 0.0000 0.0000 0.2382
La 0.3333 0.6667 0.4168
La 0.6667 0.3333 0.5832
Zn 0.3333 0.6667 0.1665
Zn 0.0000 0.0000 0.5000
Zn 0.0000 0.0000 0.0000
Zn 0.6667 0.3333 0.8335
Tl 0.6667 0.3333 0.3284
Tl 0.3333 0.6667 0.6716

---

# 15
Compound: LaTlZn
Source: Alexandria via LeMat-Bulk
Functional: PBE-GGA
Structure: optimized geometry

Output
Final energy, eV per atom: -3.133
Energy of formation, eV/atom: -0.277

a = 5.2932 Å, b = 6.6719 Å, c = 5.2924 Å
α = 89.95°, β = 120.18°, γ = 90.05°
Fractional coordinates of all 6 atoms:
Zn 0.3636 0.6219 0.0278
Zn 0.6993 0.4181 0.6918
La 0.0309 0.6797 0.3603
La 0.3654 0.1411 0.0257
Tl 0.6982 0.8948 0.6930
Tl 0.0328 0.2068 0.3583

---

# 16
Compound: LaTlZn
Source: Alexandria via LeMat-Bulk
Functional: PBE-GGA
Structure: optimized geometry

Output
Final energy, eV per atom: -3.226
Energy of formation, eV/atom: -0.370

a = 4.8822 Å, b = 6.1957 Å, c = 6.1957 Å
α = 78.30°, β = 66.79°, γ = 66.79°
Fractional coordinates of all 6 atoms:
Tl 0.8422 0.6336 0.8798
Tl 0.8422 0.1807 0.3327
La 0.5234 0.2261 0.9252
La 0.4815 0.7676 0.4667
Zn 0.1720 0.7568 0.0968
Zn 0.1720 0.3976 0.4559

---

# 17
Compound: La14TlZn
Source: Alexandria via LeMat-Bulk
Functional: PBE-GGA
Structure: optimized geometry

Output
Final energy, eV per atom: -4.563
Energy of formation, eV/atom: -0.024

a = 7.0887 Å, b = 7.0887 Å, c = 12.1063 Å
α = 90.00°, β = 90.00°, γ = 65.71°
Fractional coordinates of all 16 atoms:
La 0.1037 0.1037 0.7514
La 0.3750 0.3750 0.0000
La 0.6463 0.6463 0.7514
La 0.6038 0.1463 0.2799
La 0.8750 0.3750 0.0000
La 0.1463 0.6038 0.7201
La 0.3750 0.8750 0.5000
La 0.3750 0.8750 0.0000
La 0.1037 0.1037 0.2486
La 0.6038 0.1463 0.7201
La 0.1463 0.6038 0.2799
La 0.8750 0.3750 0.5000
La 0.8750 0.8750 0.0000
La 0.6463 0.6463 0.2486
Zn 0.3750 0.3750 0.5000
Tl 0.8750 0.8750 0.5000

---

# 18
Compound: La4Tl3Zn
Source: Alexandria via LeMat-Bulk
Functional: PBE-GGA
Structure: optimized geometry

Output
Final energy, eV per atom: -3.913
Energy of formation, eV/atom: -0.403

a = 3.8286 Å, b = 3.8286 Å, c = 16.5149 Å
α = 90.00°, β = 90.00°, γ = 90.00°
Fractional coordinates of all 8 atoms:
La 0.0000 0.0000 0.3690
La 0.0000 0.0000 0.1078
La 0.0000 0.0000 0.6310
La 0.0000 0.0000 0.8922
Zn 0.5000 0.5000 0.0000
Tl 0.5000 0.5000 0.2367
Tl 0.5000 0.5000 0.5000
Tl 0.5000 0.5000 0.7633

---

# 19
Compound: LaTlZn
Source: Alexandria via LeMat-Bulk
Functional: PBE-GGA
Structure: optimized geometry

Output
Final energy, eV per atom: -3.169
Energy of formation, eV/atom: -0.313

a = 6.7974 Å, b = 4.5014 Å, c = 6.7980 Å
α = 109.34°, β = 123.64°, γ = 70.66°
Fractional coordinates of all 6 atoms:
Tl 0.0914 0.3549 0.3638
Tl 0.5965 0.3548 0.8688
La 0.1536 0.0454 0.8071
La 0.5343 0.6644 0.4256
Zn 0.9620 0.7367 0.9977
Zn 0.7257 0.9731 0.2351

---

# 20
Compound: La2TlZn
Source: Alexandria via LeMat-Bulk
Functional: PBE-GGA
Structure: optimized geometry

Output
Offset from the most stable computed form, eV per atom: 0.202
Final energy, eV per atom: -3.541
Energy of formation, eV/atom: -0.168

a = 9.9949 Å, b = 9.9949 Å, c = 9.9949 Å
α = 22.29°, β = 22.29°, γ = 22.29°
Fractional coordinates of all 4 atoms:
La 0.4935 0.4935 0.4935
La 0.0065 0.0065 0.0065
Zn 0.7500 0.7500 0.7500
Tl 0.2500 0.2500 0.2500